No. 1
This record from Alexandria via LeMat-Bulk describes Mn2InSb at its PBEsol-relaxed geometry. The functional is SCAN.

Cell lengths 4.087, 4.492, 4.827 Å; angles 117.73, 115.05, 90.00 degrees
Each line ends with the local moment (μB).
Atoms (fractional coordinates):
1 Sb 0.500 0.000 0.000  -0.04
2 Mn 0.753 0.753 0.506  3.56
3 Mn 0.247 0.247 0.494  3.56
4 In 0.000 0.500 0.000  -0.17

Values from the calculation:
D(E_F): 2.91 states/eV/f.u.
Uncorrected formation energy: 0.08 eV per atom
Energy above the lowest structure with this stoichiometry: 0 kJ/mol of formula units
Electronic total energy: -26.7106 eV per atom



No. 2
This record from Alexandria via LeMat-Bulk describes Mn2InSb at its PBEsol-relaxed geometry. The functional is SCAN.

Cell lengths 3.693, 3.693, 6.480 Å; angles 73.44, 73.44, 60.00 degrees
Atoms (fractional coordinates):
1 Sb 0.473 0.473 0.582
2 Mn 0.720 0.720 0.840
3 Mn 0.034 0.034 0.896
4 In 0.273 0.273 0.181

Values from the calculation:
D(E_F): 1.62 states/eV/f.u.
Uncorrected formation energy: 0.32 eV per atom
Energy above the lowest structure with this stoichiometry: 93 kJ/mol of formula units
Electronic total energy: -26.4691 eV per atom



No. 3
This record from Alexandria via LeMat-Bulk describes Sc2MnIn at its PBEsol-relaxed geometry. The functional is SCAN.

Cell lengths 3.235, 3.235, 7.071 Å; angles 90.00, 90.00, 90.00 degrees
Each line ends with the local moment (μB).
Atoms (fractional coordinates):
1 In 0.500 0.500 0.000  0.01
2 Sc 0.000 0.000 0.291  -0.27
3 Sc 0.000 0.000 0.709  -0.27
4 Mn 0.500 0.500 0.500  3.22

Values from the calculation:
D(E_F): 3.87 states/eV/f.u.
ΔH_f (0 K): -0.325 eV/atom
Electronic total energy: -20.3536 eV per atom



No. 4
This record from Alexandria via LeMat-Bulk describes Sc3MnIn at its PBEsol-relaxed geometry. The functional is SCAN.

Cell lengths 4.768, 4.768, 4.768 Å; angles 90.00, 90.00, 90.00 degrees
Each line ends with the local moment (μB).
Atoms (fractional coordinates):
1 Sc 0.500 0.000 0.000  -0.14
2 Sc 0.000 0.000 0.500  -0.14
3 Sc 0.000 0.500 0.000  -0.14
4 In 0.500 0.500 0.500  0.02
5 Mn 0.000 0.000 0.000  1.27

Values from the calculation:
D(E_F): 5.38 states/eV/f.u.
ΔH_f (0 K): 0.059 eV/atom
Electronic total energy: -18.8118 eV per atom



No. 5
This record from Alexandria via LeMat-Bulk describes Sc4MnIn at its PBEsol-relaxed geometry. The functional is SCAN.

Cell lengths 5.666, 5.666, 5.666 Å; angles 60.00, 60.00, 60.00 degrees
Each line ends with the local moment (μB).
Atoms (fractional coordinates):
1 Sc 0.374 0.374 0.374  -0.02
2 Sc 0.374 0.877 0.374  -0.02
3 Sc 0.877 0.374 0.374  -0.02
4 Sc 0.374 0.374 0.877  -0.02
5 In 0.750 0.750 0.750  -0.03
6 Mn 0.000 0.000 0.000  4.17

Values from the calculation:
D(E_F): 4.24 states/eV/f.u.
ΔH_f (0 K): 0.191 eV/atom
Electronic total energy: -17.9069 eV per atom



No. 6
This record from Alexandria via LeMat-Bulk describes MnIn2Se4 at its PBEsol-relaxed geometry. The functional is SCAN.

Cell lengths 4.072, 4.072, 12.993 Å; angles 80.99, 80.99, 60.00 degrees
Each line ends with the local moment (μB).
Atoms (fractional coordinates):
1 Mn 0.772 0.772 0.684  4.34
2 Se 0.706 0.706 0.882  0.00
3 Se 0.865 0.865 0.404  0.01
4 Se 0.124 0.124 0.628  0.02
5 Se 0.296 0.296 0.111  0.01
6 In 0.229 0.229 0.313  0.02
7 In 0.003 0.003 0.990  0.01

Values from the calculation:
D(E_F): 0.87 states/eV/f.u.
Uncorrected formation energy: -0.65 eV per atom
Electronic total energy: -24.2720 eV per atom



No. 7
This record from Alexandria via LeMat-Bulk describes MnInSe3 at its PBEsol-relaxed geometry. The functional is SCAN.

Cell lengths 4.796, 4.796, 4.796 Å; angles 90.00, 90.00, 90.00 degrees
Each line ends with the local moment (μB).
Atoms (fractional coordinates):
1 Mn 0.000 0.000 0.000  3.52
2 Se 0.500 0.000 0.000  -0.09
3 Se 0.000 0.000 0.500  -0.09
4 Se 0.000 0.500 0.000  -0.09
5 In 0.500 0.500 0.500  -0.08

Values from the calculation:
D(E_F): 4.11 states/eV/f.u.
Uncorrected formation energy: -0.15 eV per atom
Electronic total energy: -22.5289 eV per atom



No. 8
This record from Alexandria via LeMat-Bulk describes Mn2InTeSe at its PBEsol-relaxed geometry. The functional is SCAN.

Cell lengths 4.685, 4.685, 5.675 Å; angles 90.00, 90.00, 90.00 degrees
Each line ends with the local moment (μB).
Atoms (fractional coordinates):
1 Te 0.500 0.500 0.500  0.17
2 Mn 0.000 0.500 0.000  4.11
3 Mn 0.500 0.000 0.000  4.11
4 Se 0.000 0.000 0.000  -0.01
5 In 0.000 0.000 0.500  0.01

Values from the calculation:
D(E_F): 2.42 states/eV/f.u.
Uncorrected formation energy: 0.08 eV per atom
Electronic total energy: -25.3626 eV per atom



No. 9
This record from Alexandria via LeMat-Bulk describes Mn2InSi at its PBEsol-relaxed geometry. The functional is SCAN.

Cell lengths 2.831, 2.831, 6.689 Å; angles 90.00, 90.00, 90.00 degrees
Each line ends with the local moment (μB).
Atoms (fractional coordinates):
1 Mn 0.000 0.000 0.201  2.31
2 Mn 0.000 0.000 0.799  2.31
3 Si 0.500 0.500 0.000  -0.20
4 In 0.500 0.500 0.500  -0.15

Values from the calculation:
D(E_F): 2.92 states/eV/f.u.
Uncorrected formation energy: -0.09 eV per atom
Electronic total energy: -20.0641 eV per atom



No. 10
This record from Alexandria via LeMat-Bulk describes Mn2InSi at its PBEsol-relaxed geometry. The functional is SCAN.

Cell lengths 2.769, 4.125, 5.049 Å; angles 90.00, 94.07, 90.00 degrees
Each line ends with the local moment (μB).
Atoms (fractional coordinates):
1 Mn 0.811 0.500 0.300  2.73
2 Mn 0.910 0.000 0.007  3.06
3 In 0.372 0.500 0.792  -0.13
4 Si 0.407 0.000 0.401  -0.09

Values from the calculation:
D(E_F): 2.24 states/eV/f.u.
Uncorrected formation energy: 0.04 eV per atom
Electronic total energy: -19.9355 eV per atom



No. 11
This record from Alexandria via LeMat-Bulk describes TmMn6InSn5 at its PBEsol-relaxed geometry. The functional is SCAN.

Cell lengths 5.347, 5.347, 8.902 Å; angles 90.00, 90.00, 120.00 degrees
Each line ends with the local moment (μB).
Atoms (fractional coordinates):
1 Mn 0.999 0.499 0.754  2.67
2 Mn 0.501 0.499 0.754  2.67
3 Mn 0.501 0.001 0.246  2.67
4 Mn 0.501 0.499 0.246  2.67
5 Mn 0.501 0.001 0.754  2.67
6 Mn 0.999 0.499 0.246  2.67
7 Sn 0.000 0.000 0.332  -0.19
8 Sn 0.333 0.667 0.000  -0.18
9 Sn 0.667 0.333 0.500  -0.20
10 Sn 0.667 0.333 0.000  -0.17
11 Sn 0.000 0.000 0.668  -0.19
12 In 0.333 0.667 0.500  -0.19
13 Tm 0.000 0.000 0.000  -0.51

Values from the calculation:
D(E_F): 6.67 states/eV/f.u.
ΔH_f (0 K): -0.225 eV/atom
Electronic total energy: -29.0216 eV per atom



No. 12
This record from Alexandria via LeMat-Bulk describes SrMn2In at its PBEsol-relaxed geometry. The functional is SCAN.

Cell lengths 3.212, 3.212, 9.775 Å; angles 80.54, 80.54, 60.00 degrees
Each line ends with the local moment (μB).
Atoms (fractional coordinates):
1 Mn 0.737 0.737 0.788  3.95
2 Mn 0.004 0.004 0.988  3.84
3 Sr 0.496 0.496 0.513  -0.17
4 In 0.263 0.263 0.212  -0.06

Values from the calculation:
D(E_F): 2.11 states/eV/f.u.
ΔH_f (0 K): 0.366 eV/atom
Electronic total energy: -22.6769 eV per atom